YIn2I: relaxed, PBE.

Cell and atoms, written as CIF:
```
data_YIn2I
_chemical_formula_sum 'Y4 In8 I4'
_cell_length_a 7.9293
_cell_length_b 7.9293
_cell_length_c 7.9293
_cell_angle_alpha 90.00
_cell_angle_beta 90.00
_cell_angle_gamma 90.00
_symmetry_space_group_name_H-M 'F m -3 m'
_symmetry_Int_Tables_number 225
_symmetry_space_group_name_Hall '-F 4 2 3'
loop_
_atom_site_label
_atom_site_type_symbol
_atom_site_fract_x
_atom_site_fract_y
_atom_site_fract_z
_atom_site_occupancy
Y1 Y 0.0000 0.0000 0.0000 1
In1 In 0.2500 0.2500 0.2500 1
I1 I 0.0000 0.0000 0.5000 1
```

Results
Spin magnetization (μB/atom): 0.000
Density of states at the Fermi level (states/eV/cell): 18.8
Total energy (eV/atom): -3.301
Distance to the lowest polymorph of the same formula (eV/f.u.): 0.52